Entry 1:
! ScIrCl2, relaxed, DFT PBE; values from VASP
&SYSTEM
  ibrav = 0, nat = 4, ntyp = 3
/
ATOMIC_SPECIES
Sc 44.96 Sc.upf
Ir 192.22 Ir.upf
Cl 35.45 Cl.upf
ATOMIC_POSITIONS crystal
Sc 0.250 0.250 0.250
Ir 0.750 0.750 0.750
Cl 0.887 0.887 0.039
Cl 0.613 0.613 0.461
CELL_PARAMETERS angstrom
7.132 0.025 -0.013
6.309 3.326 -0.013
0.290 0.072 4.250
! DFT total energy = -5.650 eV per atom
! volume = 25.0 Å³ per atom
! raw formation energy = -0.928 eV per atom
! ΔE to the lowest computed polymorph = 0.0000 eV/atom



Entry 2:
! Ca2LaCu6, relaxed, DFT PBE; values from VASP
&SYSTEM
  ibrav = 0, nat = 9, ntyp = 3
/
ATOMIC_SPECIES
Ca 40.08 Ca.upf
La 138.91 La.upf
Cu 63.55 Cu.upf
ATOMIC_POSITIONS crystal
Ca 0.000 0.333 0.667
Ca 0.000 0.667 0.333
La 0.000 0.000 0.000
Cu 0.500 0.334 0.334
Cu 0.500 0.666 0.666
Cu 0.500 0.000 0.666
Cu 0.500 0.666 0.000
Cu 0.500 0.334 0.000
Cu 0.500 0.000 0.334
CELL_PARAMETERS angstrom
3.853 0.000 0.000
0.000 6.405 -3.698
0.000 0.000 7.396
! DFT total energy = -3.867 eV per atom
! volume = 20.3 Å³ per atom
! formation energy from the elements = -0.144 eV/atom



Entry 3:
! HfAgRh, relaxed, DFT PBE; values from VASP
&SYSTEM
  ibrav = 0, nat = 6, ntyp = 3
/
ATOMIC_SPECIES
Rh 102.91 Rh.upf
Hf 178.49 Hf.upf
Ag 107.87 Ag.upf
ATOMIC_POSITIONS crystal
Rh 0.339 0.677 0.384
Rh 0.661 0.323 0.616
Hf 0.612 0.225 0.266
Hf 0.388 0.775 0.734
Ag 0.871 0.741 0.074
Ag 0.129 0.259 0.926
CELL_PARAMETERS angstrom
-2.094 -2.055 1.363
2.735 -2.401 -3.257
4.470 -0.596 5.970
! DFT total energy = -7.015 eV per atom
! volume = 18.3 Å³ per atom
! formation energy from the elements = -0.296 eV/atom
! ΔE to the lowest computed polymorph = 0.1672 eV/atom



Entry 4:
! ErBiPd, relaxed, DFT PBE; values from VASP
&SYSTEM
  ibrav = 0, nat = 3, ntyp = 3
/
ATOMIC_SPECIES
Bi 208.98 Bi.upf
Pd 106.42 Pd.upf
Er 167.26 Er.upf
ATOMIC_POSITIONS crystal
Bi 0.000 0.000 0.000
Pd 0.750 0.750 0.750
Er 0.500 0.500 0.500
CELL_PARAMETERS angstrom
4.733 0.000 0.000
2.366 4.099 0.000
2.366 1.366 3.864
! DFT total energy = -5.467 eV per atom
! volume = 25.0 Å³ per atom
! formation energy from the elements = -0.922 eV/atom



Entry 5:
! Te7C, relaxed, DFT PBE; values from VASP
&SYSTEM
  ibrav = 0, nat = 8, ntyp = 2
/
ATOMIC_SPECIES
Te 127.60 Te.upf
C 12.01 C.upf
ATOMIC_POSITIONS crystal
Te 0.500 0.500 0.000
Te 0.500 0.000 0.500
Te 0.500 0.000 0.000
Te 0.000 0.000 0.500
Te 0.000 0.500 0.000
Te 0.000 0.500 0.500
Te 0.500 0.500 0.500
C 0.000 0.000 0.000
CELL_PARAMETERS angstrom
0.000 4.720 4.720
4.720 0.000 4.720
4.720 4.720 0.000
! DFT total energy = -2.769 eV per atom
! volume = 26.3 Å³ per atom
! raw formation energy = 1.133 eV per atom



Entry 6:
! Ce2MgZr, relaxed, DFT PBE; values from VASP
&SYSTEM
  ibrav = 0, nat = 4, ntyp = 3
/
ATOMIC_SPECIES
Mg 24.30 Mg.upf
Zr 91.22 Zr.upf
Ce 140.12 Ce.upf
ATOMIC_POSITIONS crystal
Mg 0.500 0.000 0.000
Zr 0.500 0.500 0.500
Ce 0.000 0.000 0.500
Ce 0.000 0.500 0.000
CELL_PARAMETERS angstrom
4.916 0.000 0.000
0.000 4.530 0.000
0.000 0.000 4.530
! DFT total energy = -5.387 eV per atom
! volume = 25.2 Å³ per atom
! formation energy from the elements = 0.116 eV/atom
! ΔE to the lowest computed polymorph = 0.0605 eV/atom



Entry 7:
! LiTiS2N, relaxed, DFT PBE; values from VASP
&SYSTEM
  ibrav = 0, nat = 5, ntyp = 4
/
ATOMIC_SPECIES
S 32.06 S.upf
N 14.01 N.upf
Li 6.94 Li.upf
Ti 47.87 Ti.upf
ATOMIC_POSITIONS crystal
S 0.000 0.500 0.000
S 0.500 0.000 0.000
N 0.000 0.000 0.500
Li 0.500 0.500 0.500
Ti 0.000 0.000 0.000
CELL_PARAMETERS angstrom
4.796 0.000 0.000
0.000 4.796 0.000
0.000 0.000 3.911
! DFT total energy = -5.703 eV per atom
! volume = 18.0 Å³ per atom
! raw formation energy = -0.426 eV per atom
! ΔE to the lowest computed polymorph = 0.0000 eV/atom



Entry 8:
! ZrAsRh, relaxed, DFT PBE; values from VASP
&SYSTEM
  ibrav = 0, nat = 3, ntyp = 3
/
ATOMIC_SPECIES
As 74.92 As.upf
Rh 102.91 Rh.upf
Zr 91.22 Zr.upf
ATOMIC_POSITIONS crystal
As 0.000 0.000 0.025
Rh 0.667 0.333 0.310
Zr 0.333 0.667 0.665
CELL_PARAMETERS angstrom
-0.521 1.250 2.812
1.381 -2.789 -0.236
5.680 2.831 -0.207
! DFT total energy = -7.135 eV per atom
! volume = 17.9 Å³ per atom
! formation energy from the elements = -0.285 eV/atom



Entry 9:
! Dy2P4O13, relaxed, DFT PBE; values from VASP
&SYSTEM
  ibrav = 0, nat = 76, ntyp = 3
/
ATOMIC_SPECIES
Dy 162.50 Dy.upf
P 30.97 P.upf
O 16.00 O.upf
ATOMIC_POSITIONS crystal
Dy 0.287 0.997 0.003
Dy 0.208 0.996 0.510
Dy 0.287 0.503 0.503
Dy 0.208 0.504 0.010
Dy 0.792 0.496 0.990
Dy 0.713 0.497 0.497
Dy 0.792 0.004 0.490
Dy 0.713 0.003 0.997
P 0.033 0.724 0.596
P 0.088 0.762 0.815
P 0.250 0.269 0.692
P 0.033 0.776 0.096
P 0.088 0.738 0.315
P 0.454 0.280 0.912
P 0.250 0.231 0.192
P 0.546 0.780 0.588
P 0.454 0.220 0.412
P 0.750 0.769 0.808
P 0.546 0.720 0.088
P 0.912 0.262 0.685
P 0.967 0.224 0.904
P 0.750 0.731 0.308
P 0.912 0.238 0.185
P 0.967 0.276 0.404
O 0.092 0.309 0.715
O 0.125 0.158 0.925
O 0.020 0.876 0.562
O 0.114 0.631 0.875
O 0.116 0.727 0.713
O 0.141 0.643 0.555
O 0.188 0.883 0.860
O 0.092 0.191 0.215
O 0.125 0.342 0.425
O 0.020 0.624 0.062
O 0.351 0.373 0.949
O 0.232 0.135 0.638
O 0.114 0.869 0.375
O 0.116 0.773 0.213
O 0.302 0.391 0.646
O 0.368 0.240 0.798
O 0.141 0.857 0.055
O 0.393 0.847 0.584
O 0.480 0.135 0.962
O 0.188 0.617 0.360
O 0.351 0.127 0.449
O 0.232 0.365 0.138
O 0.302 0.109 0.146
O 0.368 0.260 0.298
O 0.520 0.635 0.538
O 0.607 0.347 0.916
O 0.393 0.653 0.084
O 0.480 0.365 0.462
O 0.632 0.740 0.702
O 0.698 0.891 0.854
O 0.768 0.635 0.862
O 0.649 0.873 0.551
O 0.812 0.383 0.640
O 0.520 0.865 0.038
O 0.607 0.153 0.416
O 0.859 0.143 0.945
O 0.632 0.760 0.202
O 0.698 0.609 0.354
O 0.884 0.227 0.787
O 0.886 0.131 0.625
O 0.768 0.865 0.362
O 0.649 0.627 0.051
O 0.980 0.376 0.938
O 0.875 0.658 0.575
O 0.908 0.809 0.785
O 0.812 0.117 0.140
O 0.859 0.357 0.445
O 0.884 0.273 0.287
O 0.886 0.369 0.125
O 0.980 0.124 0.438
O 0.875 0.842 0.075
O 0.908 0.691 0.285
CELL_PARAMETERS angstrom
9.076 0.000 -0.157
0.000 9.710 0.000
-4.189 0.000 13.632
! DFT total energy = -7.691 eV per atom
! volume = 15.7 Å³ per atom
! raw formation energy = -2.675 eV per atom
! ΔE to the lowest computed polymorph = 0.0191 eV/atom



Entry 10:
! AcHo5, relaxed, DFT PBE; values from VASP
&SYSTEM
  ibrav = 0, nat = 12, ntyp = 2
/
ATOMIC_SPECIES
Ac 227.00 Ac.upf
Ho 164.93 Ho.upf
ATOMIC_POSITIONS crystal
Ac 0.750 0.500 0.250
Ac 0.250 0.500 0.750
Ho 0.750 0.000 0.250
Ho 0.250 0.000 0.750
Ho 0.250 0.000 0.420
Ho 0.750 0.000 0.920
Ho 0.750 0.000 0.580
Ho 0.250 0.000 0.080
Ho 0.250 0.500 0.417
Ho 0.750 0.500 0.917
Ho 0.750 0.500 0.583
Ho 0.250 0.500 0.083
CELL_PARAMETERS angstrom
-0.733 -0.076 6.180
-3.444 -4.281 -4.654
7.910 -7.287 0.850
! DFT total energy = -4.454 eV per atom
! volume = 32.9 Å³ per atom
! formation energy from the elements = 0.045 eV/atom
! ΔE to the lowest computed polymorph = 0.0000 eV/atom



Entry 11:
! Er2LuRe, relaxed, DFT PBE; values from VASP
&SYSTEM
  ibrav = 0, nat = 4, ntyp = 3
/
ATOMIC_SPECIES
Re 186.21 Re.upf
Lu 174.97 Lu.upf
Er 167.26 Er.upf
ATOMIC_POSITIONS crystal
Re 0.000 0.000 0.000
Lu 0.500 0.500 0.500
Er 0.080 0.080 0.759
Er 0.920 0.920 0.241
CELL_PARAMETERS angstrom
-0.290 2.524 1.920
-0.855 -0.402 3.041
10.355 -0.256 4.543
! DFT total energy = -5.768 eV per atom
! volume = 24.5 Å³ per atom
! formation energy from the elements = 0.756 eV/atom



Entry 12:
! NaCeSc, relaxed, DFT PBE; values from VASP
&SYSTEM
  ibrav = 0, nat = 6, ntyp = 3
/
ATOMIC_SPECIES
Ce 140.12 Ce.upf
Na 22.99 Na.upf
Sc 44.96 Sc.upf
ATOMIC_POSITIONS crystal
Ce 0.500 0.000 0.218
Ce 0.000 0.500 0.782
Na 0.500 0.000 0.579
Na 0.000 0.500 0.421
Sc 0.500 0.500 0.000
Sc 0.000 0.000 0.000
CELL_PARAMETERS angstrom
4.008 0.000 0.000
0.000 4.008 0.000
0.000 0.000 12.820
! DFT total energy = -3.995 eV per atom
! volume = 34.3 Å³ per atom
! formation energy from the elements = 0.533 eV/atom



Entry 13:
! Na3In3Pb5, relaxed, DFT PBE; values from VASP
&SYSTEM
  ibrav = 0, nat = 11, ntyp = 3
/
ATOMIC_SPECIES
Na 22.99 Na.upf
In 114.82 In.upf
Pb 207.20 Pb.upf
ATOMIC_POSITIONS crystal
Na 0.000 0.593 0.000
Na 0.000 0.000 0.593
Na 0.000 0.407 0.407
In 0.500 0.837 0.000
In 0.500 0.163 0.163
In 0.500 0.000 0.837
Pb 0.500 0.667 0.333
Pb 0.500 0.333 0.667
Pb 0.500 0.340 0.000
Pb 0.500 0.660 0.660
Pb 0.500 0.000 0.340
CELL_PARAMETERS angstrom
-3.161 0.667 0.736
-1.376 -10.158 3.292
3.215 7.534 6.987
! DFT total energy = -2.758 eV per atom
! volume = 30.2 Å³ per atom
! formation energy from the elements = 0.034 eV/atom



Entry 14:
! Nd5Sm4Er2, relaxed, DFT PBE; values from VASP
&SYSTEM
  ibrav = 0, nat = 11, ntyp = 3
/
ATOMIC_SPECIES
Nd 144.24 Nd.upf
Sm 150.36 Sm.upf
Er 167.26 Er.upf
ATOMIC_POSITIONS crystal
Nd 0.850 0.055 0.700
Nd 0.850 0.645 0.700
Nd 0.150 0.355 0.300
Nd 0.150 0.945 0.300
Nd 0.500 0.000 0.000
Sm 0.000 0.303 0.000
Sm 0.596 0.596 0.193
Sm 0.000 0.697 0.000
Sm 0.404 0.404 0.807
Er 0.270 0.270 0.540
Er 0.730 0.730 0.460
CELL_PARAMETERS angstrom
-0.254 -1.651 -3.115
-4.289 -7.201 4.166
-8.120 9.538 -2.387
! DFT total energy = -4.489 eV per atom
! volume = 35.3 Å³ per atom
! formation energy from the elements = 0.224 eV/atom
! ΔE to the lowest computed polymorph = 0.0834 eV/atom



Entry 15:
! Sr3Li3Ge2, relaxed, DFT PBE; values from VASP
&SYSTEM
  ibrav = 0, nat = 32, ntyp = 3
/
ATOMIC_SPECIES
Sr 87.62 Sr.upf
Li 6.94 Li.upf
Ge 72.64 Ge.upf
ATOMIC_POSITIONS crystal
Sr 0.129 0.459 0.399
Sr 0.629 0.041 0.601
Sr 0.871 0.541 0.899
Sr 0.371 0.959 0.101
Sr 0.871 0.541 0.601
Sr 0.371 0.959 0.399
Sr 0.129 0.459 0.101
Sr 0.629 0.041 0.899
Sr 0.659 0.345 0.250
Sr 0.159 0.155 0.750
Sr 0.341 0.655 0.750
Sr 0.841 0.845 0.250
Li 0.097 0.162 0.250
Li 0.597 0.338 0.750
Li 0.903 0.838 0.750
Li 0.403 0.662 0.250
Li 0.610 0.339 0.463
Li 0.110 0.161 0.537
Li 0.390 0.661 0.963
Li 0.890 0.839 0.037
Li 0.390 0.661 0.537
Li 0.890 0.839 0.463
Li 0.610 0.339 0.037
Li 0.110 0.161 0.963
Ge 0.869 0.126 0.395
Ge 0.369 0.374 0.605
Ge 0.131 0.874 0.895
Ge 0.631 0.626 0.105
Ge 0.131 0.874 0.605
Ge 0.631 0.626 0.395
Ge 0.869 0.126 0.105
Ge 0.369 0.374 0.895
CELL_PARAMETERS angstrom
-4.560 4.062 -0.081
-3.082 -3.310 7.462
9.306 10.619 8.554
! DFT total energy = -2.860 eV per atom
! volume = 27.5 Å³ per atom
! formation energy from the elements = -0.357 eV/atom